(1)
TaTlNO, optimized geometry, DFT PBE; calculated total energy = -58.704 eV for the cell shown; E above lowest polymorph = 2.42 eV/f.u.; total magnetization = 0.00 μB/cell; crystal system = tetragonal
1.0
4.009 0.000 0.000
0.000 4.009 0.000
0.000 0.000 7.647
Ta Tl N O
2 2 2 2
direct
0.250 0.750 0.000 Ta
0.750 0.250 0.000 Ta
0.250 0.250 0.352 Tl
0.750 0.750 0.648 Tl
0.250 0.250 0.916 N
0.750 0.750 0.084 N
0.250 0.750 0.500 O
0.750 0.250 0.500 O

***

(2)
CsFeTeAuSe2, optimized geometry, DFT PBE; calculated total energy = -48.384 eV for the cell shown; total magnetization = 6.85 μB/cell; crystal system = orthorhombic
1.0
1.869 -8.756 0.000
1.869 8.756 0.000
0.000 0.000 10.504
Cs Fe Te Au Se
2 2 2 2 4
direct
0.235 0.765 0.750 Cs
0.765 0.235 0.250 Cs
0.000 0.000 0.000 Fe
0.000 0.000 0.500 Fe
0.067 0.933 0.250 Te
0.933 0.067 0.750 Te
0.445 0.555 0.250 Au
0.555 0.445 0.750 Au
0.399 0.601 0.021 Se
0.399 0.601 0.479 Se
0.601 0.399 0.521 Se
0.601 0.399 0.979 Se

***

(3)
HfBeCoB, optimized geometry, DFT PBE; calculated total energy = -108.753 eV for the cell shown; E above lowest polymorph = 0.70 eV/f.u.; total magnetization = 0.80 μB/cell; crystal system = cubic
1.0
5.667 0.000 0.000
0.000 5.667 0.000
0.000 0.000 5.667
Hf Be Co B
4 4 4 4
direct
0.000 0.000 0.000 Hf
0.000 0.500 0.500 Hf
0.500 0.000 0.500 Hf
0.500 0.500 0.000 Hf
0.000 0.000 0.500 Be
0.000 0.500 0.000 Be
0.500 0.000 0.000 Be
0.500 0.500 0.500 Be
0.250 0.250 0.250 Co
0.250 0.750 0.750 Co
0.750 0.250 0.750 Co
0.750 0.750 0.250 Co
0.250 0.250 0.750 B
0.250 0.750 0.250 B
0.750 0.250 0.250 B
0.750 0.750 0.750 B

***

(4)
NdCuSn, optimized geometry, DFT PBE; calculated total energy = -26.555 eV for the cell shown; total magnetization = 0.00 μB/cell; crystal system = orthorhombic
1.0
3.440 0.000 0.000
0.000 3.457 0.000
0.000 0.000 11.356
Nd Cu Sn
2 2 2
direct
0.000 0.000 0.000 Nd
0.500 0.500 0.500 Nd
0.000 0.000 0.331 Cu
0.500 0.500 0.831 Cu
0.000 0.000 0.706 Sn
0.500 0.500 0.206 Sn

***

(5)
Cu2Ag3, optimized geometry, DFT PBE; energy of formation from the pure elements = 6 kJ/mol of atoms; calculated total energy = -31.172 eV for the cell shown; E above lowest polymorph = 0.16 eV/f.u.; crystal system = monoclinic
1.0
4.775 -1.441 0.000
4.775 1.441 0.000
-1.502 0.000 11.260
Cu Ag
4 6
direct
0.129 0.129 0.185 Cu
0.205 0.205 0.914 Cu
0.795 0.795 0.086 Cu
0.871 0.871 0.815 Cu
0.000 0.000 0.500 Ag
0.289 0.289 0.614 Ag
0.422 0.422 0.271 Ag
0.500 0.500 0.000 Ag
0.578 0.578 0.729 Ag
0.711 0.711 0.386 Ag

***

(6)
KDyPu, optimized geometry, DFT PBE; calculated total energy = -64.577 eV for the cell shown; E above lowest polymorph = 0.00 eV/f.u.; total magnetization = 34.59 μB/cell; crystal system = cubic
1.0
8.228 0.000 0.000
0.000 8.228 0.000
0.000 0.000 8.228
K Dy Pu
4 4 4
direct
0.000 0.000 0.000 K
0.000 0.500 0.500 K
0.500 0.000 0.500 K
0.500 0.500 0.000 K
0.250 0.250 0.250 Dy
0.250 0.750 0.750 Dy
0.750 0.250 0.750 Dy
0.750 0.750 0.250 Dy
0.000 0.000 0.500 Pu
0.000 0.500 0.000 Pu
0.500 0.000 0.000 Pu
0.500 0.500 0.500 Pu

***

(7)
Tb2YCu4Ge4, optimized geometry, DFT PBE; calculated total energy = -56.103 eV for the cell shown; total magnetization = 0.00 μB/cell; crystal system = orthorhombic
1.0
-2.107 3.331 6.985
2.107 -3.331 6.985
2.107 3.331 -6.985
Tb Y Cu Ge
2 1 4 4
direct
0.130 0.130 0.000 Tb
0.870 0.870 0.000 Tb
0.500 0.000 0.500 Y
0.140 0.331 0.810 Cu
0.479 0.669 0.810 Cu
0.521 0.331 0.190 Cu
0.860 0.669 0.190 Cu
0.192 0.500 0.692 Ge
0.283 0.783 0.500 Ge
0.717 0.217 0.500 Ge
0.808 0.500 0.308 Ge

***

(8)
Li2MgScGe2Pd2, optimized geometry, DFT PBE; calculated total energy = -36.385 eV for the cell shown; total magnetization = 0.00 μB/cell; crystal system = tetragonal
1.0
4.435 0.000 0.000
0.000 4.435 0.000
0.000 0.000 6.281
Li Mg Sc Ge Pd
2 1 1 2 2
direct
0.000 0.500 0.237 Li
0.500 0.000 0.763 Li
0.500 0.500 0.000 Mg
0.000 0.000 0.500 Sc
0.000 0.000 0.000 Ge
0.500 0.500 0.500 Ge
0.000 0.500 0.747 Pd
0.500 0.000 0.253 Pd

***

(9)
ZrCuReBi, optimized geometry, DFT PBE; calculated total energy = -105.672 eV for the cell shown; E above lowest polymorph = 0.86 eV/f.u.; total magnetization = 2.47 μB/cell; crystal system = cubic
1.0
6.706 0.000 0.000
0.000 6.706 0.000
0.000 0.000 6.706
Zr Cu Re Bi
4 4 4 4
direct
0.000 0.000 0.000 Zr
0.000 0.500 0.500 Zr
0.500 0.000 0.500 Zr
0.500 0.500 0.000 Zr
0.000 0.000 0.500 Cu
0.000 0.500 0.000 Cu
0.500 0.000 0.000 Cu
0.500 0.500 0.500 Cu
0.250 0.250 0.250 Re
0.250 0.750 0.750 Re
0.750 0.250 0.750 Re
0.750 0.750 0.250 Re
0.250 0.250 0.750 Bi
0.250 0.750 0.250 Bi
0.750 0.250 0.250 Bi
0.750 0.750 0.750 Bi

***

(10)
IrOsNO, optimized geometry, DFT PBE; calculated total energy = -61.781 eV for the cell shown; E above lowest polymorph = 1.64 eV/f.u.; total magnetization = 0.00 μB/cell; crystal system = tetragonal
1.0
3.776 0.000 0.000
0.000 3.776 0.000
0.000 0.000 6.176
Ir Os N O
2 2 2 2
direct
0.250 0.250 0.179 Ir
0.750 0.750 0.821 Ir
0.250 0.750 0.500 Os
0.750 0.250 0.500 Os
0.250 0.250 0.652 N
0.750 0.750 0.348 N
0.250 0.750 0.000 O
0.750 0.250 0.000 O

***

(11)
CuPdW, optimized geometry, DFT PBE; energy of formation from the pure elements = 88 kJ/mol of atoms; calculated total energy = -76.450 eV for the cell shown; E above lowest polymorph = 0.54 eV/f.u.; total magnetization = 3.43 μB/cell; crystal system = cubic
1.0
5.938 0.000 0.000
0.000 5.938 0.000
0.000 0.000 5.938
Cu Pd W
4 4 4
direct
0.000 0.000 0.000 Cu
0.000 0.500 0.500 Cu
0.500 0.000 0.500 Cu
0.500 0.500 0.000 Cu
0.000 0.000 0.500 Pd
0.000 0.500 0.000 Pd
0.500 0.000 0.000 Pd
0.500 0.500 0.500 Pd
0.250 0.250 0.250 W
0.250 0.750 0.750 W
0.750 0.250 0.750 W
0.750 0.750 0.250 W

***

(12)
SmBeMo, optimized geometry, DFT PBE; calculated total energy = -68.580 eV for the cell shown; E above lowest polymorph = 0.00 eV/f.u.; total magnetization = 3.12 μB/cell; crystal system = cubic
1.0
6.158 0.000 0.000
0.000 6.158 0.000
0.000 0.000 6.158
Sm Be Mo
4 4 4
direct
0.000 0.000 0.000 Sm
0.000 0.500 0.500 Sm
0.500 0.000 0.500 Sm
0.500 0.500 0.000 Sm
0.250 0.250 0.750 Be
0.250 0.750 0.250 Be
0.750 0.250 0.250 Be
0.750 0.750 0.750 Be
0.000 0.000 0.500 Mo
0.000 0.500 0.000 Mo
0.500 0.000 0.000 Mo
0.500 0.500 0.500 Mo